# PBE ScZn2Sn, relaxed
# VASP energy (eV/atom): -3.30
# Formation enthalpy at 0 K (meV/atom): -82
# Magnetic moment (μB per formula unit): 0.00
# Fermi-level density of states (states/eV per cell): 3.6
# Space-group type: I-42d
data_ScZn2Sn
_chemical_formula_sum 'Sc2 Zn4 Sn2'
_symmetry_space_group_name_H-M 'P 1'
_symmetry_Int_Tables_number 1
_symmetry_space_group_name_Hall 'P 1'
_cell_length_a 4.116
_cell_length_b 4.116
_cell_length_c 10.580
_cell_angle_alpha 78.78
_cell_angle_beta 78.78
_cell_angle_gamma 90.00
loop_
_atom_site_label
_atom_site_fract_x
_atom_site_fract_y
_atom_site_fract_z
Sc1 0.500 0.500 0.000
Sc2 0.250 0.750 0.500
Zn1 0.142 0.625 0.250
Zn2 0.375 0.392 0.750
Zn3 0.875 0.858 0.750
Zn4 0.608 0.125 0.250
Sn1 0.750 0.250 0.500
Sn2 0.000 0.000 0.000